No. 1
The following is a DFT calculation (PBE-GGA) of a geometry-optimized Na2VOs structure.

a b c (Å): 11.320 11.320 11.320
angles (deg): 161.72 161.72 25.96
Atoms (fractional coordinates):
Na 0.120 0.625 0.995
Na 0.375 0.370 0.495
Na 0.630 0.125 0.005
Na 0.875 0.880 0.505
V 0.250 0.750 0.500
V 0.500 0.500 0.000
Os 0.000 0.000 0.000
Os 0.750 0.250 0.500

## Properties
**E_form**: 0.83 eV per atom
**Total magnetic moment**: 0.9 μB per formula unit
**Crystal system**: tetragonal
**DOS(E_F)**: 2.4 states/eV/f.u.

No. 2
The following is a DFT calculation (PBE-GGA) of a geometry-optimized Na3VOs structure.

a b c (Å): 5.549 5.549 5.549
angles (deg): 90.00 90.00 90.00
Atoms (fractional coordinates):
Na 0.000 0.000 0.500
Na 0.000 0.500 0.000
Na 0.500 0.000 0.000
V 0.500 0.500 0.500
Os 0.000 0.000 0.000

## Properties
**E_form**: 1.87 eV per atom
**Total magnetic moment**: 2.2 μB per formula unit
**Crystal system**: cubic
**DOS(E_F)**: 11.2 states/eV/f.u.

No. 3
The following is a DFT calculation (PBE-GGA) of a geometry-optimized Na2VOs structure.

a b c (Å): 4.752 4.752 4.752
angles (deg): 60.00 60.00 60.00
Atoms (fractional coordinates):
Na 0.250 0.250 0.250
Na 0.750 0.750 0.750
V 0.000 0.000 0.000
Os 0.500 0.500 0.500

## Properties
**E_form**: 1.52 eV per atom
**Total magnetic moment**: 1.6 μB per formula unit
**Crystal system**: cubic
**DOS(E_F)**: 6.7 states/eV/f.u.

No. 4
The following is a DFT calculation (PBE-GGA) of a geometry-optimized NaVOs3 structure.

a b c (Å): 4.555 4.555 4.555
angles (deg): 90.00 90.00 90.00
Atoms (fractional coordinates):
Na 0.000 0.000 0.000
V 0.500 0.500 0.500
Os 0.000 0.500 0.500
Os 0.500 0.000 0.500
Os 0.500 0.500 0.000

## Properties
**E_form**: 1.59 eV per atom
**Total magnetic moment**: 1.5 μB per formula unit
**Crystal system**: cubic
**DOS(E_F)**: 6.0 states/eV/f.u.

No. 5
The following is a DFT calculation (PBE-GGA) of a geometry-optimized NaVZnOs2 structure.

a b c (Å): 4.584 4.584 4.223
angles (deg): 90.00 90.00 90.00
Atoms (fractional coordinates):
Na 0.000 0.000 0.000
V 0.500 0.500 0.000
Zn 0.000 0.000 0.500
Os 0.000 0.500 0.500
Os 0.500 0.000 0.500

## Properties
**E_form**: 1.77 eV per atom
**Total magnetic moment**: 0.0 μB per formula unit
**Crystal system**: tetragonal
**DOS(E_F)**: 5.0 states/eV/f.u.

No. 6
The following is a DFT calculation (PBE-GGA) of a geometry-optimized NaOs2W2 structure.

a b c (Å): 7.871 7.871 2.776
angles (deg): 90.00 90.00 90.00
Atoms (fractional coordinates):
Na 0.000 0.000 0.000
Na 0.500 0.500 0.000
Os 0.146 0.354 0.500
Os 0.354 0.854 0.500
Os 0.646 0.146 0.500
Os 0.854 0.646 0.500
W 0.144 0.644 0.000
W 0.356 0.144 0.000
W 0.644 0.856 0.000
W 0.856 0.356 0.000

## Properties
**E_form**: 0.35 eV per atom
**Total magnetic moment**: 0.0 μB per formula unit
**Crystal system**: tetragonal
**DOS(E_F)**: 3.6 states/eV/f.u.